Entry 1:
FeAsHBr2 at its PBEsol-relaxed geometry. Source: Alexandria, functional SCAN.

a = 4.955 Å, b = 4.955 Å, c = 3.445 Å
α = 90.00°, β = 90.00°, γ = 90.00°
Space group P4/mmm (No. 123)
Symmetry-distinct sites (fractional):
Fe1 0.000 0.000 0.000 x1
As1 0.500 0.500 0.000 x1
H1 0.500 0.500 0.500 x1
Br1 0.000 0.500 0.500 x2

The value obtained for the total magnetic moment is 3.24 μB per cell. The calculation puts the total energy at -77.6 eV per cell.

---

Entry 2:
YBeFe2 at its PBEsol-relaxed geometry. Source: Alexandria, functional SCAN.

a = 3.8279 Å, b = 3.8279 Å, c = 14.2912 Å
α = 90.00°, β = 90.00°, γ = 120.00°
Space group R-3m (No. 166, hexagonal axes)
Symmetry-distinct sites (fractional):
Y1 0.0000 0.0000 0.0000 x3
Be1 0.0000 0.0000 0.5000 x3
Fe1 0.0000 0.0000 0.1836 x6

The value obtained for the total magnetic moment is 5.36 μB per cell. Its formation energy is 0.0359 eV per atom. The calculation puts the total energy at -204.9 eV per cell.

---

Entry 3:
ZnCr2Ru at its PBEsol-relaxed geometry. Source: Alexandria, functional SCAN.

a = 3.596 Å, b = 3.596 Å, c = 3.769 Å
α = 90.00°, β = 90.00°, γ = 90.00°
Space group P4/mmm (No. 123)
Symmetry-distinct sites (fractional):
Zn1 0.000 0.000 0.000 x1
Cr1 0.000 0.500 0.500 x2
Ru1 0.500 0.500 0.000 x1

The value obtained for the total magnetic moment is 0.00 μB per cell. Its formation energy is 0.2125 eV per atom. The calculation puts the total energy at -84.3 eV per cell.

---

Entry 4:
AlTcCl4 at its PBEsol-relaxed geometry. Source: Alexandria, functional SCAN.

a = 8.094 Å, b = 8.094 Å, c = 8.094 Å
α = 90.00°, β = 90.00°, γ = 90.00°
Space group F-43m (No. 216)
Symmetry-distinct sites (fractional):
Al1 0.000 0.000 0.000 x4
Tc1 0.250 0.250 0.750 x4
Cl1 0.124 0.124 0.376 x16

The value obtained for the total magnetic moment is 24.14 μB per cell. The uncorrected formation energy is 502 kJ/mol of formula units. The calculation puts the total energy at -278.1 eV per cell.